# 1
Computed, not measured: a relaxed CaLaIr2 crystal at the PBE-GGA level of DFT.

Values from the calculation:
As for the energy above the most stable polymorph in this dataset: 345 meV per atom. The value obtained for the total energy is -6.197 eV/atom. As for the total moment: 0.00 μB/f.u. The volume is 20.44 Å³ per atom. Its symmetry is No. 216. As for the formation energy: -0.034 eV/atom.

Structure (POSCAR):
```
CaLaIr2
1.0
-1.206 4.335 -1.868
-4.571 0.834 -1.466
-2.854 3.033 2.528
Ir Ca La
2 1 1
Cartesian
-2.158 2.051 -0.202
0.000 0.000 0.000
-4.315 4.101 -0.403
-6.473 6.152 -0.605
```


# 2
Computed, not measured: a relaxed BaZr2Mo crystal at the PBE-GGA level of DFT.

Values from the calculation:
As for the energy above the most stable polymorph in this dataset: 944 meV per atom. The value obtained for the total energy is -6.266 eV/atom. As for the total moment: 0.00 μB/f.u. The volume is 36.43 Å³ per atom. Its symmetry is No. 141. As for the formation energy: 1.197 eV/atom.

Structure (POSCAR):
```
BaZr2Mo
1.0
-5.604 0.182 -1.785
0.384 -5.596 -1.777
-5.116 -5.295 5.826
Zr Ba Mo
4 2 2
Cartesian
-5.699 -7.401 2.589
-8.501 -7.309 1.697
-3.141 -4.753 -0.324
-3.332 -1.955 0.565
0.000 0.000 0.000
-6.665 -3.910 1.130
-3.671 -6.799 1.134
-2.610 -2.707 -1.781
```